Density functional theory data (PBE-GGA) for Ac2SO5 after structural relaxation.

Computed properties:
Its magnetic moment is 0.00 μB/cell. The total energy is -6.962 eV per atom. The space group is No. 107. The uncorrected formation energy is -2320 meV/atom. The density comes out at 8.064 g/cm3.

a b c (Å): 5.673 5.673 5.404
angles (deg): 121.66 121.66 90.00
Element x y z (fractional)
Ac1 0.250 0.750 0.500
Ac2 0.750 0.250 0.500
S1 0.001 0.001 0.002
O1 0.765 0.232 0.997
O2 0.232 0.232 0.997
O3 0.765 0.765 0.997
O4 0.232 0.765 0.997
O5 0.781 0.781 0.562